Entry from the Alexandria database: a relaxed Y2AgIr2 crystal (PBE).

The space group is I4/mmm (No. 139) and the conventional cell measures 5.3717, 5.3717 and 8.1282 Å, with angles of 90.00, 90.00 and 90.00 degrees. The distinct sites, in fractional coordinates, are Y at (0.0000, 0.5000, 0.2500), Ag at (0.0000, 0.0000, 0.0000) and Ir at (0.0000, 0.0000, 0.3440).

Its energy relative to the elements is -271 meV/atom. The energy above the most stable polymorph in this dataset is 355 meV per atom.